[1]
Material: Ba5NaAu
Method: DFT, PBE-GGA
State: relaxed

Lattice parameters (Å, degrees): 8.2514 8.2514 11.6456 96.54 96.54 95.24
Last column: nearest neighbours and their distance in Å.
Atoms (fractional coordinates):
Ba  0.1045  0.6521  0.3744  1 Au 3.30
Ba  0.1221  0.8779  0.7500  2 Au 3.27
Ba  0.2032  0.3532  0.9882  1 Au 3.25
Ba  0.3479  0.8955  0.1256  1 Au 3.30
Ba  0.3532  0.2032  0.4882  1 Au 3.25
Ba  0.6468  0.7968  0.5118  1 Au 3.25
Ba  0.6521  0.1045  0.8744  1 Au 3.30
Ba  0.7968  0.6468  0.0118  1 Au 3.25
Ba  0.8779  0.1221  0.2500  2 Au 3.27
Ba  0.8955  0.3479  0.6256  1 Au 3.30
Na  0.4464  0.5536  0.7500  5 Ba 3.91-4.02
Na  0.5536  0.4464  0.2500  5 Ba 3.91-4.02
Au  0.0000  0.0000  0.0000  6 Ba 3.25-3.30
Au  0.0000  0.0000  0.5000  6 Ba 3.25-3.30

- DFT formation energy (eV/atom) = -0.20
- SG = No. 15

[2]
Material: Ba12NaAu5
Method: DFT, PBE-GGA
State: relaxed

Lattice parameters (Å, degrees): 10.2118 10.2118 10.2118 113.50 109.29 105.71
Last column: nearest neighbours and their distance in Å.
Atoms (fractional coordinates):
Ba  0.0249  0.2090  0.8159  2 Au 3.28-3.37
Ba  0.1743  0.2923  0.4666  3 Au 3.45-3.87
Ba  0.1743  0.7077  0.8819  3 Au 3.45-3.87
Ba  0.3290  0.0140  0.6850  3 Au 3.28-3.41
Ba  0.3290  0.6440  0.3150  3 Au 3.28-3.41
Ba  0.3930  0.2090  0.1841  2 Au 3.28-3.37
Ba  0.6070  0.7910  0.8159  2 Au 3.28-3.37
Ba  0.6710  0.3560  0.6850  3 Au 3.28-3.41
Ba  0.6710  0.9860  0.3150  3 Au 3.28-3.41
Ba  0.8257  0.2923  0.1181  3 Au 3.45-3.87
Ba  0.8257  0.7077  0.5334  3 Au 3.45-3.87
Ba  0.9751  0.7910  0.1841  2 Au 3.28-3.37
Na  0.5000  0.5000  0.0000  12 Ba 4.11-4.50
Au  0.0000  0.0000  0.0000  4 Ba 3.37
Au  0.1223  0.6223  0.5000  1 Au 3.02, 2 Ba 3.28
Au  0.3555  0.0000  0.3555  6 Ba 3.28-3.41, 1 Au 3.41
Au  0.6445  0.0000  0.6445  6 Ba 3.28-3.41, 1 Au 3.41
Au  0.8777  0.3777  0.5000  1 Au 3.02, 2 Ba 3.28

- DFT formation energy (eV/atom) = -0.41
- SG = No. 71

[3]
Material: Ba3Na3Au8
Method: DFT, PBE-GGA
State: relaxed

Lattice parameters (Å, degrees): 9.4574 9.4574 9.4574 149.35 117.79 70.94
Last column: nearest neighbours and their distance in Å.
Atoms (fractional coordinates):
Ba  0.0000  0.0000  0.0000  12 Au 3.49-3.78, 4 Na 3.83
Ba  0.2803  0.2803  0.0000  12 Au 3.42-3.59
Ba  0.7197  0.7197  0.0000  12 Au 3.42-3.59
Na  0.2968  0.5000  0.7968  2 Au 2.87, 2 Na 3.19
Na  0.5000  0.0000  0.5000  4 Au 3.02, 4 Na 3.19
Na  0.7032  0.5000  0.2032  2 Au 2.87, 2 Na 3.19
Au  0.0148  0.6594  0.3553  3 Au 2.83-2.86, 1 Na 2.87
Au  0.1435  0.8612  0.2824  3 Au 2.86-3.19, 1 Na 3.02
Au  0.3041  0.6594  0.6447  3 Au 2.83-2.86, 1 Na 2.87
Au  0.4212  0.1388  0.2824  3 Au 2.86-3.19, 1 Na 3.02
Au  0.5788  0.8612  0.7176  3 Au 2.86-3.19, 1 Na 3.02
Au  0.6959  0.3406  0.3553  3 Au 2.83-2.86, 1 Na 2.87
Au  0.8565  0.1388  0.7176  3 Au 2.86-3.19, 1 Na 3.02
Au  0.9852  0.3406  0.6447  3 Au 2.83-2.86, 1 Na 2.87

- DFT formation energy (eV/atom) = -0.52
- SG = No. 71

[4]
Material: Ba3NaAu2
Method: DFT, PBE-GGA
State: relaxed

Lattice parameters (Å, degrees): 9.5542 9.5542 9.5542 132.16 73.66 127.60
Last column: nearest neighbours and their distance in Å.
Atoms (fractional coordinates):
Ba  0.0325  0.7500  0.2825  4 Au 3.35-3.40
Ba  0.2500  0.2500  0.0000  4 Au 3.39
Ba  0.4675  0.7500  0.7175  4 Au 3.35-3.40
Ba  0.5325  0.2500  0.2825  4 Au 3.35-3.40
Ba  0.7500  0.7500  0.0000  4 Au 3.39
Ba  0.9675  0.2500  0.7175  4 Au 3.35-3.40
Na  0.0000  0.5000  0.5000  2 Au 3.16
Na  0.5000  0.0000  0.5000  2 Au 3.16
Au  0.1406  0.2012  0.3418  1 Na 3.16, 6 Ba 3.35-3.40
Au  0.3594  0.7012  0.0607  1 Na 3.16, 6 Ba 3.35-3.40
Au  0.6406  0.2988  0.9393  1 Na 3.16, 6 Ba 3.35-3.40
Au  0.8594  0.7988  0.6582  1 Na 3.16, 6 Ba 3.35-3.40

- DFT formation energy (eV/atom) = -0.48
- SG = No. 72

[5]
Material: BaNa3Au3
Method: DFT, PBE-GGA
State: relaxed

Lattice parameters (Å, degrees): 7.8508 7.8508 7.8508 71.91 71.91 71.91
Last column: nearest neighbours and their distance in Å.
Atoms (fractional coordinates):
Ba  0.1526  0.1526  0.1526  6 Au 3.33-3.46
Ba  0.8474  0.8474  0.8474  6 Au 3.33-3.46
Na  0.1339  0.6173  0.3361  4 Au 2.95-3.09, 1 Na 3.25
Na  0.3361  0.1339  0.6173  4 Au 2.95-3.09, 1 Na 3.25
Na  0.3827  0.6639  0.8661  4 Au 2.95-3.09, 1 Na 3.25
Na  0.6173  0.3361  0.1339  4 Au 2.95-3.09, 1 Na 3.25
Na  0.6639  0.8661  0.3827  4 Au 2.95-3.09, 1 Na 3.25
Na  0.8661  0.3827  0.6639  4 Au 2.95-3.09, 1 Na 3.25
Au  0.1712  0.4817  0.7397  2 Au 2.90, 4 Na 2.95-3.09
Au  0.2603  0.8288  0.5183  2 Au 2.90, 4 Na 2.95-3.09
Au  0.4817  0.7397  0.1712  2 Au 2.90, 4 Na 2.95-3.09
Au  0.5183  0.2603  0.8288  2 Au 2.90, 4 Na 2.95-3.09
Au  0.7397  0.1712  0.4817  2 Au 2.90, 4 Na 2.95-3.09
Au  0.8288  0.5183  0.2603  2 Au 2.90, 4 Na 2.95-3.09

- DFT formation energy (eV/atom) = -0.34
- SG = No. 148

[6]
Material: BaNa2Au2
Method: DFT, PBE-GGA
State: relaxed

Lattice parameters (Å, degrees): 8.2203 8.2203 4.5241 90.00 90.00 90.00
Last column: nearest neighbours and their distance in Å.
Atoms (fractional coordinates):
Ba  0.0000  0.0000  0.0000  4 Au 3.27
Ba  0.5000  0.5000  0.0000  4 Au 3.27
Na  0.1482  0.3518  0.5000  6 Au 3.18-3.50, 1 Na 3.45
Na  0.3518  0.8518  0.5000  6 Au 3.18-3.50, 1 Na 3.45
Na  0.6482  0.1482  0.5000  6 Au 3.18-3.50, 1 Na 3.45
Na  0.8518  0.6482  0.5000  6 Au 3.18-3.50, 1 Na 3.45
Au  0.1216  0.6216  0.0000  1 Au 2.83
Au  0.3784  0.1216  0.0000  1 Au 2.83
Au  0.6216  0.8784  0.0000  1 Au 2.83
Au  0.8784  0.3784  0.0000  1 Au 2.83

- DFT formation energy (eV/atom) = -0.33
- SG = No. 127

[7]
Material: Ba9Na2Au3
Method: DFT, PBE-GGA
State: relaxed

Lattice parameters (Å, degrees): 10.4938 10.4938 14.6730 111.26 111.26 59.02
Last column: nearest neighbours and their distance in Å.
Atoms (fractional coordinates):
Ba  0.0182  0.2107  0.0533  3 Au 3.30-3.62
Ba  0.0833  0.6466  0.2508  2 Au 3.38-3.41
Ba  0.1418  0.3383  0.4214  3 Au 3.44-3.83, 2 Ba 3.79-3.82
Ba  0.1732  0.8268  0.7500  2 Au 3.39
Ba  0.2107  0.0182  0.5533  3 Au 3.30-3.62
Ba  0.3383  0.1418  0.9214  3 Au 3.44-3.83, 2 Ba 3.79-3.82
Ba  0.3534  0.9167  0.2492  2 Au 3.38-3.41
Ba  0.3942  0.4930  0.0792  1 Au 3.39, 1 Ba 3.79
Ba  0.4930  0.3942  0.5792  1 Au 3.39, 1 Ba 3.79
Ba  0.5070  0.6058  0.4208  1 Au 3.39, 1 Ba 3.79
Ba  0.6058  0.5070  0.9208  1 Au 3.39, 1 Ba 3.79
Ba  0.6466  0.0833  0.7508  2 Au 3.38-3.41
Ba  0.6617  0.8582  0.0786  3 Au 3.44-3.83, 2 Ba 3.79-3.82
Ba  0.7893  0.9818  0.4467  3 Au 3.30-3.62
Ba  0.8268  0.1732  0.2500  2 Au 3.39
Ba  0.8582  0.6617  0.5786  3 Au 3.44-3.83, 2 Ba 3.79-3.82
Ba  0.9167  0.3534  0.7492  2 Au 3.38-3.41
Ba  0.9818  0.7893  0.9467  3 Au 3.30-3.62
Na  0.2462  0.4206  0.7499  9 Ba 3.86-4.28
Na  0.4206  0.2462  0.2499  9 Ba 3.86-4.28
Na  0.5794  0.7538  0.7501  9 Ba 3.86-4.28
Na  0.7538  0.5794  0.2501  9 Ba 3.86-4.28
Au  0.0000  0.5000  0.0000  4 Ba 3.30-3.41
Au  0.1568  0.6826  0.5006  6 Ba 3.38-3.62
Au  0.3174  0.8432  0.9994  6 Ba 3.38-3.62
Au  0.5000  0.0000  0.5000  4 Ba 3.30-3.41
Au  0.6826  0.1568  0.0006  6 Ba 3.38-3.62
Au  0.8432  0.3174  0.4994  6 Ba 3.38-3.62

- DFT formation energy (eV/atom) = -0.28
- SG = No. 15

[8]
Material: Ba7Na3Au2
Method: DFT, PBE-GGA
State: relaxed

Lattice parameters (Å, degrees): 15.9520 15.9520 6.4571 90.00 90.00 156.55
Last column: nearest neighbours and their distance in Å.
Atoms (fractional coordinates):
Ba  0.0000  0.0000  0.0000  2 Au 3.25
Ba  0.1037  0.8963  0.5000  2 Au 3.23
Ba  0.2070  0.7930  0.0000  1 Au 3.22
Ba  0.3923  0.6077  0.0000  2 Au 3.24
Ba  0.6077  0.3923  0.0000  2 Au 3.24
Ba  0.7930  0.2070  0.0000  1 Au 3.22
Ba  0.8963  0.1037  0.5000  2 Au 3.23
Na  0.2965  0.7035  0.5000  10 Ba 4.27-4.58, 2 Na 4.35
Na  0.5000  0.5000  0.5000  12 Ba 4.57-4.66
Na  0.7035  0.2965  0.5000  10 Ba 4.27-4.58, 2 Na 4.35
Au  0.1040  0.8960  0.0000  6 Ba 3.22-3.25
Au  0.8960  0.1040  0.0000  6 Ba 3.22-3.25

- DFT formation energy (eV/atom) = -0.24
- SG = No. 65

[9]
Material: Ba5NaAu
Method: DFT, PBE-GGA
State: relaxed

Lattice parameters (Å, degrees): 8.3991 8.3991 13.6020 109.38 109.38 60.89
Last column: nearest neighbours and their distance in Å.
Atoms (fractional coordinates):
Ba  0.0323  0.3831  0.6281  1 Au 3.21
Ba  0.0372  0.9628  0.7500  2 Au 3.42
Ba  0.2027  0.5514  0.9660  1 Au 3.23
Ba  0.3831  0.0323  0.1281  1 Au 3.21
Ba  0.4486  0.7973  0.5340  1 Au 3.23
Ba  0.5514  0.2027  0.4660  1 Au 3.23
Ba  0.6169  0.9677  0.8719  1 Au 3.21
Ba  0.7973  0.4486  0.0340  1 Au 3.23
Ba  0.9628  0.0372  0.2500  2 Au 3.42
Ba  0.9677  0.6169  0.3719  1 Au 3.21
Na  0.4788  0.5212  0.2500  5 Ba 3.81-4.25
Na  0.5212  0.4788  0.7500  5 Ba 3.81-4.25
Au  0.0000  0.0000  0.0000  6 Ba 3.21-3.42
Au  0.0000  0.0000  0.5000  6 Ba 3.21-3.42

- DFT formation energy (eV/atom) = -0.17
- SG = No. 15

[10]
Material: Ba3Na4Au4
Method: DFT, PBE-GGA
State: relaxed

Lattice parameters (Å, degrees): 9.6268 9.6268 9.6268 151.82 125.23 62.72
Last column: nearest neighbours and their distance in Å.
Atoms (fractional coordinates):
Ba  0.0000  0.0000  0.0000  6 Au 3.66-3.71, 8 Na 4.08
Ba  0.3808  0.8808  0.5000  6 Au 3.46, 6 Na 3.71-3.79
Ba  0.6192  0.1192  0.5000  6 Au 3.46, 6 Na 3.71-3.79
Na  0.0173  0.3253  0.6920  4 Au 3.02-3.18
Na  0.3667  0.6747  0.6920  4 Au 3.02-3.18
Na  0.6333  0.3253  0.3080  4 Au 3.02-3.18
Na  0.9827  0.6747  0.3080  4 Au 3.02-3.18
Au  0.2259  0.2259  0.0000  6 Na 3.02-3.18
Au  0.3168  0.5000  0.8168  2 Na 3.08, 1 Au 3.24
Au  0.6832  0.5000  0.1832  2 Na 3.08, 1 Au 3.24
Au  0.7741  0.7741  0.0000  6 Na 3.02-3.18

- DFT formation energy (eV/atom) = -0.46
- SG = No. 71

[11]
Material: BaNa5Au2
Method: DFT, PBE-GGA
State: relaxed

Lattice parameters (Å, degrees): 4.6247 9.5740 11.2413 90.00 90.00 90.00
Last column: nearest neighbours and their distance in Å.
Atoms (fractional coordinates):
Ba  0.0000  0.0000  0.0000  4 Au 3.41
Ba  0.5000  0.5000  0.5000  4 Au 3.41
Na  0.0000  0.1838  0.3340  3 Au 3.10-3.16, 4 Na 3.24-3.45
Na  0.0000  0.1838  0.6660  3 Au 3.10-3.16, 4 Na 3.24-3.45
Na  0.0000  0.5000  0.0000  2 Au 3.11, 8 Na 3.45
Na  0.0000  0.8162  0.3340  3 Au 3.10-3.16, 4 Na 3.24-3.45
Na  0.0000  0.8162  0.6660  3 Au 3.10-3.16, 4 Na 3.24-3.45
Na  0.5000  0.0000  0.5000  2 Au 3.11, 8 Na 3.45
Na  0.5000  0.3162  0.1660  3 Au 3.10-3.16, 4 Na 3.24-3.45
Na  0.5000  0.3162  0.8340  3 Au 3.10-3.16, 4 Na 3.24-3.45
Na  0.5000  0.6838  0.1660  3 Au 3.10-3.16, 4 Na 3.24-3.45
Na  0.5000  0.6838  0.8340  3 Au 3.10-3.16, 4 Na 3.24-3.45
Au  0.0000  0.5000  0.2769  7 Na 3.10-3.16, 2 Ba 3.41
Au  0.0000  0.5000  0.7231  7 Na 3.10-3.16, 2 Ba 3.41
Au  0.5000  0.0000  0.2231  7 Na 3.10-3.16, 2 Ba 3.41
Au  0.5000  0.0000  0.7769  7 Na 3.10-3.16, 2 Ba 3.41

- DFT formation energy (eV/atom) = -0.29
- SG = No. 71

[12]
Material: Ba2Na6Au3
Method: DFT, PBE-GGA
State: relaxed

Lattice parameters (Å, degrees): 9.3274 9.3274 4.6380 90.00 90.00 120.00
Last column: nearest neighbours and their distance in Å.
Atoms (fractional coordinates):
Ba  0.3333  0.6667  0.0000  6 Au 3.67, 9 Na 3.83-4.08
Ba  0.6667  0.3333  0.0000  6 Au 3.67, 9 Na 3.83-4.08
Na  0.0000  0.2086  0.0000  2 Au 2.93
Na  0.0000  0.7150  0.5000  1 Au 2.94
Na  0.2086  0.0000  0.0000  2 Au 2.93
Na  0.2850  0.2850  0.5000  1 Au 2.94
Na  0.7150  0.0000  0.5000  1 Au 2.94
Na  0.7914  0.7914  0.0000  2 Au 2.93
Au  0.0000  0.4000  0.5000  3 Na 2.93-2.94
Au  0.4000  0.0000  0.5000  3 Na 2.93-2.94
Au  0.6000  0.6000  0.5000  3 Na 2.93-2.94

- DFT formation energy (eV/atom) = -0.29
- SG = No. 189

| no. | raw total energy (Ry per atom) |
| --- | --- |
| 1 | -0.164 |
| 2 | -0.197 |
| 3 | -0.227 |
| 4 | -0.203 |
| 5 | -0.190 |
| 6 | -0.188 |
| 7 | -0.177 |
| 8 | -0.164 |
| 9 | -0.162 |
| 10 | -0.195 |
| 11 | -0.160 |
| 12 | -0.165 |